<i>
Material: SrCaAc2
Method: DFT, GGA-PBE
State: optimized geometry

Summary:
V ... 182.23 Å³/f.u.
Calculated density ... 5.30 g/cm3

Cell: 3.997 6.884 7.017 Å, 99.75 106.47 90.06°
Space group P-1 (No. 2)
One atom of each set of equivalent atoms:
1 Sr 0.000 0.000 0.000 x1
2 Ca 0.500 0.500 0.000 x1
3 Ac 0.248 0.745 0.494 x2



<ii>
Material: SrCaAc2
Method: DFT, GGA-PBE
State: optimized geometry

Summary:
V ... 183.42 Å³/f.u.
Calculated density ... 5.27 g/cm3

Cell: 9.019 9.019 9.019 Å, 90.00 90.00 90.00°
Space group Fm-3m (No. 225)
One atom of each set of equivalent atoms:
1 Sr 0.000 0.000 0.000 x4
2 Ca 0.000 0.000 0.500 x4
3 Ac 0.250 0.250 0.250 x8



<iii>
Material: SrCaAc2
Method: DFT, GGA-PBE
State: optimized geometry

Summary:
V ... 188.14 Å³/f.u.
Calculated density ... 5.13 g/cm3

Cell: 3.9228 3.9228 42.3524 Å, 90.00 90.00 120.00°
Space group R-3m (No. 166, hexagonal axes)
One atom of each set of equivalent atoms:
1 Sr 0.0000 0.0000 0.0000 x3
2 Ca 0.0000 0.0000 0.5000 x3
3 Ac 0.0000 0.0000 0.0907 x6



<iv>
Material: SrCaAc2
Method: DFT, GGA-PBE
State: optimized geometry

Summary:
V ... 182.12 Å³/f.u.
Calculated density ... 5.30 g/cm3

Cell: 3.9902 3.9902 39.6253 Å, 90.00 90.00 120.00°
Space group R3m (No. 160, hexagonal axes)
One atom of each set of equivalent atoms:
1 Sr 0.0000 0.0000 0.0000 x3
2 Ca 0.0000 0.0000 0.8337 x3
3 Ac 0.0000 0.0000 0.4196 x3
4 Ac 0.0000 0.0000 0.5808 x3



Most stable structure, least stable structure: <i>, <iii>.



<i>
Material: Sr6CaAc
Method: DFT, GGA-PBE
State: optimized geometry

Summary:
V ... 417.73 Å³/f.u.
Calculated density ... 3.15 g/cm3

Cell: 7.474 7.476 7.476 Å, 89.86 89.92 89.96°
Space group P-1 (No. 2)
One atom of each set of equivalent atoms:
1 Sr 0.000 0.000 0.249 x2
2 Sr 0.251 0.500 0.000 x2
3 Sr 0.500 0.249 0.499 x2
4 Ca 0.000 0.500 0.500 x1
5 Ac 0.500 0.000 0.000 x1



<ii>
Material: Sr6CaAc
Method: DFT, GGA-PBE
State: optimized geometry

Summary:
V ... 471.04 Å³/f.u.
Calculated density ... 2.79 g/cm3

Cell: 11.375 8.037 10.791 Å, 90.00 107.27 90.00°
Space group C2/m (No. 12)
One atom of each set of equivalent atoms:
1 Sr 0.135 0.000 0.422 x4
2 Sr 0.197 0.245 0.803 x8
3 Ca 0.000 0.500 0.500 x2
4 Ac 0.000 0.000 0.000 x2



Most stable structure, least stable structure: <i>, <ii>.



<i>
Material: Sr2Ca5Ac
Method: DFT, GGA-PBE
State: optimized geometry

Summary:
V ... 362.98 Å³/f.u.
Calculated density ... 2.76 g/cm3

Cell: 9.889 9.889 14.848 Å, 90.00 90.00 90.00°
Space group I4/mcm (No. 140)
One atom of each set of equivalent atoms:
1 Sr 0.151 0.349 0.000 x8
2 Ca 0.000 0.000 0.000 x4
3 Ca 0.149 0.351 0.332 x16
4 Ac 0.000 0.000 0.250 x4



<ii>
Material: Sr2Ca5Ac
Method: DFT, GGA-PBE
State: optimized geometry

Summary:
V ... 358.50 Å³/f.u.
Calculated density ... 2.79 g/cm3

Cell: 6.298 6.298 18.075 Å, 90.00 90.00 90.00°
Space group I4/mmm (No. 139)
One atom of each set of equivalent atoms:
1 Sr 0.000 0.000 0.248 x4
2 Ca 0.000 0.000 0.500 x2
3 Ca 0.000 0.500 0.118 x8
4 Ac 0.000 0.000 0.000 x2



Most stable structure, least stable structure: <ii>, <i>.



<i>
Material: SrCa2Ac
Method: DFT, GGA-PBE
State: optimized geometry

Summary:
V ... 181.03 Å³/f.u.
Calculated density ... 3.62 g/cm3

Cell: 3.9936 3.9936 39.3191 Å, 90.00 90.00 120.00°
Space group R-3m (No. 166, hexagonal axes)
One atom of each set of equivalent atoms:
1 Sr 0.0000 0.0000 0.0000 x3
2 Ca 0.0000 0.0000 0.2484 x6
3 Ac 0.0000 0.0000 0.5000 x3



<ii>
Material: SrCa2Ac
Method: DFT, GGA-PBE
State: optimized geometry

Summary:
V ... 180.86 Å³/f.u.
Calculated density ... 3.62 g/cm3

Cell: 8.977 8.977 8.977 Å, 90.00 90.00 90.00°
Space group Fm-3m (No. 225)
One atom of each set of equivalent atoms:
1 Sr 0.000 0.000 0.000 x4
2 Ca 0.250 0.250 0.250 x8
3 Ac 0.000 0.000 0.500 x4



Most stable structure, least stable structure: <i>, <ii>.



<i>
Material: SrCa4Ac
Method: DFT, GGA-PBE
State: optimized geometry

Summary:
V ... 263.00 Å³/f.u.
Calculated density ... 3.00 g/cm3

Cell: 6.386 12.900 6.384 Å, 90.00 90.21 90.00°
Space group C2/m (No. 12)
One atom of each set of equivalent atoms:
1 Sr 0.000 0.000 0.000 x2
2 Ca 0.000 0.175 0.500 x4
3 Ca 0.000 0.330 0.000 x4
4 Ac 0.000 0.500 0.500 x2



<ii>
Material: SrCa4Ac
Method: DFT, GGA-PBE
State: optimized geometry

Summary:
V ... 266.39 Å³/f.u.
Calculated density ... 2.96 g/cm3

Cell: 3.986 3.986 16.763 Å, 90.00 90.00 90.00°
Space group P4/mmm (No. 123)
One atom of each set of equivalent atoms:
1 Sr 0.000 0.000 0.000 x1
2 Ca 0.000 0.000 0.336 x2
3 Ca 0.500 0.500 0.176 x2
4 Ac 0.500 0.500 0.500 x1



<iii>
Material: SrCa4Ac
Method: DFT, GGA-PBE
State: optimized geometry

Summary:
V ... 277.42 Å³/f.u.
Calculated density ... 2.84 g/cm3

Cell: 10.353 10.353 10.353 Å, 90.00 90.00 90.00°
Space group F-43m (No. 216)
One atom of each set of equivalent atoms:
1 Sr 0.000 0.000 0.000 x4
2 Ca 0.125 0.125 0.625 x16
3 Ac 0.250 0.250 0.250 x4



Most stable structure, least stable structure: <ii>, <iii>.



<i>
Material: SrCa6Ac
Method: DFT, GGA-PBE
State: optimized geometry

Summary:
V ... 353.18 Å³/f.u.
Calculated density ... 2.61 g/cm3

Cell: 5.600 5.600 11.263 Å, 90.00 90.00 90.00°
Space group P4/mmm (No. 123)
One atom of each set of equivalent atoms:
1 Sr 0.000 0.000 0.000 x1
2 Ca 0.000 0.500 0.254 x4
3 Ca 0.500 0.500 0.000 x1
4 Ca 0.500 0.500 0.500 x1
5 Ac 0.000 0.000 0.500 x1



<ii>
Material: SrCa6Ac
Method: DFT, GGA-PBE
State: optimized geometry

Summary:
V ... 400.55 Å³/f.u.
Calculated density ... 2.30 g/cm3

Cell: 11.062 7.557 9.909 Å, 90.00 104.73 90.00°
Space group C2/m (No. 12)
One atom of each set of equivalent atoms:
1 Sr 0.000 0.000 0.000 x2
2 Ca 0.127 0.500 0.919 x4
3 Ca 0.210 0.259 0.303 x8
4 Ac 0.000 0.500 0.500 x2



Most stable structure, least stable structure: <i>, <ii>.



<i>
Material: Sr2Ca7Ac2
Method: DFT, GGA-PBE
State: optimized geometry

Summary:
V ... 510.24 Å³/f.u.
Calculated density ... 2.96 g/cm3

Cell: 12.129 9.609 8.995 Å, 90.00 103.25 90.00°
Space group C2/m (No. 12)
One atom of each set of equivalent atoms:
1 Sr 0.057 0.000 0.317 x4
2 Ca 0.000 0.500 0.500 x2
3 Ca 0.221 0.202 0.689 x8
4 Ca 0.229 0.000 0.036 x4
5 Ac 0.000 0.307 0.000 x4



<ii>
Material: Sr2Ca7Ac2
Method: DFT, GGA-PBE
State: optimized geometry

Summary:
V ... 503.45 Å³/f.u.
Calculated density ... 3.00 g/cm3

Cell: 12.451 12.981 6.769 Å, 90.00 113.02 90.00°
Space group C2/m (No. 12)
One atom of each set of equivalent atoms:
1 Sr 0.225 0.000 0.081 x4
2 Ca 0.000 0.000 0.500 x2
3 Ca 0.092 0.500 0.310 x4
4 Ca 0.166 0.239 0.654 x8
5 Ac 0.000 0.241 0.000 x4



Most stable structure, least stable structure: <ii>, <i>.



<i>
Material: SrCa8Ac2
Method: DFT, GGA-PBE
State: optimized geometry

Summary:
V ... 474.56 Å³/f.u.
Calculated density ... 3.02 g/cm3

Cell: 20.775 6.228 7.335 Å, 90.00 90.31 90.00°
Space group C2/m (No. 12)
One atom of each set of equivalent atoms:
1 Sr 0.000 0.000 0.000 x2
2 Ca 0.045 0.500 0.721 x4
3 Ca 0.094 0.000 0.464 x4
4 Ca 0.136 0.500 0.174 x4
5 Ca 0.185 0.000 0.909 x4
6 Ac 0.225 0.500 0.630 x4



<ii>
Material: SrCa8Ac2
Method: DFT, GGA-PBE
State: optimized geometry

Summary:
V ... 490.86 Å³/f.u.
Calculated density ... 2.92 g/cm3

Cell: 12.350 7.767 11.705 Å, 90.00 119.03 90.00°
Space group C2/m (No. 12)
One atom of each set of equivalent atoms:
1 Sr 0.000 0.000 0.000 x2
2 Ca 0.085 0.500 0.408 x4
3 Ca 0.134 0.500 0.950 x4
4 Ca 0.230 0.246 0.718 x8
5 Ac 0.061 0.000 0.381 x4



Most stable structure, least stable structure: <i>, <ii>.



<i>
Material: Sr7Ca4Ac
Method: DFT, GGA-PBE
State: optimized geometry

Summary:
V ... 589.88 Å³/f.u.
Calculated density ... 2.82 g/cm3

Cell: 4.1038 4.1038 40.4453 Å, 90.00 90.00 120.00°
Space group P-3m1 (No. 164)
One atom of each set of equivalent atoms:
1 Sr 0.0000 0.0000 0.0000 x1
2 Sr 0.0000 0.0000 0.2515 x2
3 Sr 0.3333 0.6667 0.1641 x2
4 Sr 0.3333 0.6667 0.4162 x2
5 Ca 0.3333 0.6667 0.6664 x2
6 Ca 0.3333 0.6667 0.9179 x2
7 Ac 0.0000 0.0000 0.5000 x1



<ii>
Material: Sr7Ca4Ac
Method: DFT, GGA-PBE
State: optimized geometry

Summary:
V ... 605.42 Å³/f.u.
Calculated density ... 2.74 g/cm3

Cell: 18.261 6.865 11.051 Å, 90.00 119.07 90.00°
Space group C2/m (No. 12)
One atom of each set of equivalent atoms:
1 Sr 0.000 0.000 0.000 x2
2 Sr 0.082 0.500 0.430 x4
3 Sr 0.194 0.500 0.873 x4
4 Sr 0.236 0.500 0.264 x4
5 Ca 0.050 0.000 0.703 x4
6 Ca 0.173 0.000 0.354 x4
7 Ac 0.000 0.500 0.000 x2



Most stable structure, least stable structure: <i>, <ii>.



<i>
Material: SrCa6Ac3
Method: DFT, GGA-PBE
State: optimized geometry

Summary:
V ... 456.03 Å³/f.u.
Calculated density ... 3.67 g/cm3

Cell: 7.2386 7.2386 10.0497 Å, 90.00 90.00 120.00°
Space group P-31m (No. 162)
One atom of each set of equivalent atoms:
1 Sr 0.0000 0.0000 0.0000 x1
2 Ca 0.0000 0.4968 0.8170 x6
3 Ac 0.0000 0.0000 0.5000 x1
4 Ac 0.3333 0.6667 0.5000 x2



<ii>
Material: SrCa6Ac3
Method: DFT, GGA-PBE
State: optimized geometry

Summary:
V ... 443.13 Å³/f.u.
Calculated density ... 3.78 g/cm3

Cell: 14.586 3.843 16.080 Å, 90.00 100.47 90.00°
Space group P2_1/m (No. 11)
One atom of each set of equivalent atoms:
1 Sr 0.037 0.250 0.216 x2
2 Ca 0.131 0.250 0.990 x2
3 Ca 0.193 0.750 0.422 x2
4 Ca 0.224 0.750 0.789 x2
5 Ca 0.277 0.750 0.204 x2
6 Ca 0.342 0.250 0.617 x2
7 Ca 0.490 0.750 0.803 x2
8 Ac 0.075 0.250 0.592 x2
9 Ac 0.383 0.750 0.003 x2
10 Ac 0.426 0.250 0.407 x2



Most stable structure, least stable structure: <ii>, <i>.